--- a ---
An optimized crystal structure of SbW3F. Source: the Alexandria database, functional GGA+U.

a b c (Å): 4.432 4.432 4.432
angles (deg): 90.00 90.00 90.00
Fractional positions:
Sb: 0.000 0.000 0.000
W: 0.000 0.500 0.500
W: 0.500 0.000 0.500
W: 0.500 0.500 0.000
F: 0.500 0.500 0.500

## Properties
M_tot (Bohr magnetons per cell): 3.03


--- b ---
An optimized crystal structure of SbW3F. Source: the Alexandria database, functional GGA+U.

a b c (Å): 5.535 5.535 5.535
angles (deg): 90.00 90.00 90.00
Fractional positions:
Sb: 0.000 0.000 0.000
W: 0.000 0.000 0.500
W: 0.000 0.500 0.000
W: 0.500 0.000 0.000
F: 0.500 0.500 0.500

## Properties
M_tot (Bohr magnetons per cell): 14.00


Stability check: which of them is least stable? b.